(1)
# GGA-PBE KAgTe2WS, relaxed
# * space-group type: Cmcm, No. 63
# * total DFT energy (no corrections): -56.0 eV for the cell shown
# * volume: 28.0 A^3/atom
# * spin magnetization: 2.00 μB/f.u.
# * crystal system: orthorhombic
data_KAgTe2WS
_cell_length_a 8.420
_cell_length_b 8.420
_cell_length_c 9.869
_cell_angle_alpha 90.00
_cell_angle_beta 90.00
_cell_angle_gamma 151.32
_symmetry_space_group_name_H-M 'P 1'
_symmetry_Int_Tables_number 1
loop_
_symmetry_equiv_pos_as_xyz
'x,y,z'
loop_
_atom_site_label
_atom_site_type_symbol
_atom_site_fract_x
_atom_site_fract_y
_atom_site_fract_z
Te1 Te 0.379 0.621 0.493
Te2 Te 0.621 0.379 0.507
Te3 Te 0.379 0.621 0.007
Te4 Te 0.621 0.379 0.993
K1 K 0.770 0.230 0.250
K2 K 0.230 0.770 0.750
S1 S 0.956 0.044 0.750
S2 S 0.044 0.956 0.250
Ag1 Ag 0.546 0.454 0.750
Ag2 Ag 0.454 0.546 0.250
W1 W 0.000 0.000 0.500
W2 W 0.000 0.000 0.000


(2)
# GGA-PBE KAgTeWS2, relaxed
# * space-group type: Cmcm, No. 63
# * total DFT energy (no corrections): -59.6 eV for the cell shown
# * volume: 25.7 A^3/atom
# * spin magnetization: 1.93 μB/f.u.
# * crystal system: orthorhombic
data_KAgTeWS2
_cell_length_a 8.047
_cell_length_b 8.047
_cell_length_c 10.382
_cell_angle_alpha 90.00
_cell_angle_beta 90.00
_cell_angle_gamma 152.75
_symmetry_space_group_name_H-M 'P 1'
_symmetry_Int_Tables_number 1
loop_
_symmetry_equiv_pos_as_xyz
'x,y,z'
loop_
_atom_site_label
_atom_site_type_symbol
_atom_site_fract_x
_atom_site_fract_y
_atom_site_fract_z
S1 S 0.898 0.102 0.465
S2 S 0.102 0.898 0.535
S3 S 0.102 0.898 0.965
S4 S 0.898 0.102 0.035
W1 W 0.500 0.500 0.500
W2 W 0.500 0.500 0.000
Ag1 Ag 0.041 0.959 0.750
Ag2 Ag 0.959 0.041 0.250
Te1 Te 0.411 0.589 0.750
Te2 Te 0.589 0.411 0.250
K1 K 0.721 0.279 0.750
K2 K 0.279 0.721 0.250


(3)
# GGA-PBE KZrAgTeS2, relaxed
# * relative energy among the computed polymorphs: 49 meV/atom
# * space-group type: Cmcm, No. 63
# * total DFT energy (no corrections): -59.6 eV for the cell shown
# * volume: 27.3 A^3/atom
# * spin magnetization: 0.00 μB/f.u.
# * crystal system: orthorhombic
data_KZrAgTeS2
_cell_length_a 8.080
_cell_length_b 8.080
_cell_length_c 10.749
_cell_angle_alpha 90.00
_cell_angle_beta 90.00
_cell_angle_gamma 152.17
_symmetry_space_group_name_H-M 'P 1'
_symmetry_Int_Tables_number 1
loop_
_symmetry_equiv_pos_as_xyz
'x,y,z'
loop_
_atom_site_label
_atom_site_type_symbol
_atom_site_fract_x
_atom_site_fract_y
_atom_site_fract_z
Ag1 Ag 0.969 0.031 0.750
Ag2 Ag 0.031 0.969 0.250
Zr1 Zr 0.500 0.500 0.000
Zr2 Zr 0.500 0.500 0.500
S1 S 0.892 0.108 0.951
S2 S 0.892 0.108 0.549
S3 S 0.108 0.892 0.049
S4 S 0.108 0.892 0.451
Te1 Te 0.406 0.594 0.250
Te2 Te 0.594 0.406 0.750
K1 K 0.281 0.719 0.750
K2 K 0.719 0.281 0.250


(4)
# GGA-PBE KZrAgTeS2, relaxed
# * relative energy among the computed polymorphs: 0 meV/atom
# * space-group type: P2_1/m, No. 11
# * total DFT energy (no corrections): -60.2 eV for the cell shown
# * volume: 26.0 A^3/atom
# * spin magnetization: 0.00 μB/f.u.
# * crystal system: monoclinic
data_KZrAgTeS2
_cell_length_a 8.370
_cell_length_b 4.006
_cell_length_c 9.957
_cell_angle_alpha 90.00
_cell_angle_beta 110.79
_cell_angle_gamma 90.00
_symmetry_space_group_name_H-M 'P 1'
_symmetry_Int_Tables_number 1
loop_
_symmetry_equiv_pos_as_xyz
'x,y,z'
loop_
_atom_site_label
_atom_site_type_symbol
_atom_site_fract_x
_atom_site_fract_y
_atom_site_fract_z
S1 S 0.233 0.250 0.429
S2 S 0.767 0.750 0.571
S3 S 0.964 0.750 0.130
S4 S 0.036 0.250 0.870
Ag1 Ag 0.416 0.750 0.396
Ag2 Ag 0.584 0.250 0.604
Zr1 Zr 0.825 0.750 0.840
Zr2 Zr 0.175 0.250 0.160
K1 K 0.785 0.250 0.307
K2 K 0.215 0.750 0.693
Te1 Te 0.584 0.250 0.879
Te2 Te 0.416 0.750 0.121